Entry 1:
Computed, not measured: Cd2AsS at its PBEsol-relaxed geometry at the meta-GGA SCAN level of DFT.

Cell lengths 6.0465, 6.0465, 7.1232 Å; angles 115.11, 115.11, 90.00 degrees
With the nearest neighbours (Å) after each atom.
Positions (direct):
Cd 0.1250 0.1359 0.7500  2 S 2.53, 2 As 2.61
Cd 0.3859 0.8750 0.2500  2 S 2.53, 2 As 2.61
Cd 0.6250 0.6141 0.7500  2 S 2.53, 2 As 2.61
Cd 0.8641 0.3750 0.2500  2 S 2.53, 2 As 2.61
S 0.5000 0.5000 0.0000  4 Cd 2.53
S 0.7500 0.2500 0.5000  4 Cd 2.53
As 0.0000 0.0000 0.0000  4 Cd 2.61
As 0.2500 0.7500 0.5000  4 Cd 2.61

Computed properties:
- raw formation energy (meV/atom) = -225
- density of states at the Fermi level (states/eV per cell) = 5.504
- calculated total energy (eV/atom) = -22.887

Entry 2:
Computed, not measured: Fe3P at its PBEsol-relaxed geometry at the meta-GGA SCAN level of DFT.

Cell lengths 4.6212, 5.5656, 6.7452 Å; angles 90.00, 90.00, 90.00 degrees
With the nearest neighbours (Å) after each atom.
Positions (direct):
Fe 0.8462 0.6841 0.9529  3 P 2.18-2.27
Fe 0.3462 0.8159 0.0471  3 P 2.18-2.27
Fe 0.1538 0.3159 0.4529  3 P 2.18-2.27
Fe 0.6538 0.1841 0.9529  3 P 2.18-2.27
Fe 0.4049 0.5030 0.7500  2 P 2.24-2.27
Fe 0.8462 0.6841 0.5471  3 P 2.18-2.27
Fe 0.6538 0.1841 0.5471  3 P 2.18-2.27
Fe 0.3462 0.8159 0.4529  3 P 2.18-2.27
Fe 0.1538 0.3159 0.0471  3 P 2.18-2.27
Fe 0.5951 0.4970 0.2500  2 P 2.24-2.27
Fe 0.0951 0.0030 0.7500  2 P 2.24-2.27
Fe 0.9049 0.9970 0.2500  2 P 2.24-2.27
P 0.9393 0.3889 0.7500  8 Fe 2.18-2.27
P 0.5607 0.8889 0.7500  8 Fe 2.18-2.27
P 0.0607 0.6111 0.2500  8 Fe 2.18-2.27
P 0.4393 0.1111 0.2500  8 Fe 2.18-2.27

Computed properties:
- density of states at the Fermi level (states/eV per cell) = 8.438
- E_form (eV/atom) = -0.254
- calculated total energy (eV/atom) = -16.451

Entry 3:
Computed, not measured: LiReNi2 at its PBEsol-relaxed geometry at the meta-GGA SCAN level of DFT.

Cell lengths 2.5147, 4.3947, 4.5869 Å; angles 102.15, 105.91, 90.00 degrees
With the nearest neighbours (Å) after each atom.
Positions (direct):
Ni 0.7350 0.2951 0.4700  3 Re 2.47, 4 Ni 2.49-2.51, 4 Li 2.54-2.55
Ni 0.0201 0.9537 0.0402  3 Li 2.37-2.54, 4 Ni 2.49-2.51, 4 Re 2.53-2.58
Re 0.4808 0.4423 0.9617  7 Ni 2.47-2.58, 2 Re 2.51, 1 Li 2.76
Li 0.2641 0.8089 0.5281  7 Ni 2.37-2.55, 2 Li 2.51

Computed properties:
- density of states at the Fermi level (states/eV per cell) = 2.790
- E_form (eV/atom) = 0.038
- calculated total energy (eV/atom) = -26.421

Entry 4:
Computed, not measured: BRh2Cl at its PBEsol-relaxed geometry at the meta-GGA SCAN level of DFT.

Cell lengths 4.0746, 4.0746, 4.0746 Å; angles 60.00, 60.00, 60.00 degrees
With the nearest neighbours (Å) after each atom.
Positions (direct):
B 0.0000 0.0000 0.0000  8 Rh 2.50
Cl 0.5000 0.5000 0.5000  8 Rh 2.50
Rh 0.2500 0.2500 0.2500  4 Cl 2.50, 4 B 2.50
Rh 0.7500 0.7500 0.7500  4 Cl 2.50, 4 B 2.50

Computed properties:
- raw formation energy (meV/atom) = 808
- density of states at the Fermi level (states/eV per cell) = 4.314
- calculated total energy (eV/atom) = -19.930